{"formula": "Dy4Ga6Rh7", "functional": "PBE", "state": "optimized geometry", "cell": [[-1.0602, -5.6211, -4.5217], [0.0585, -2.3974, 6.8859], [-5.3839, 4.8449, -0.8412]], "species": ["Dy", "Dy", "Dy", "Dy", "Ga", "Ga", "Ga", "Ga", "Ga", "Ga", "Rh", "Rh", "Rh", "Rh", "Rh", "Rh", "Rh"], "fractional_positions": [[0.5000, 0.0000, 0.0000], [0.5000, 0.5000, 0.5000], [0.0000, 0.5000, 0.0000], [0.0000, 0.0000, 0.5000], [0.6826, 0.0000, 0.6826], [0.6826, 0.6826, 0.0000], [0.0000, 0.3174, 0.3174], [0.3174, 0.0000, 0.3174], [0.3174, 0.3174, 0.0000], [0.0000, 0.6826, 0.6826], [0.7500, 0.5000, 0.2500], [0.2500, 0.7500, 0.5000], [0.5000, 0.7500, 0.2500], [0.7500, 0.2500, 0.5000], [0.2500, 0.5000, 0.7500], [0.5000, 0.2500, 0.7500], [0.0000, 0.0000, 0.0000]], "ef_ev_per_atom": -0.84, "space_group": "Im-3m (229)", "dos_at_fermi_per_ev_fu": 10.43}